No. 1
A plane-wave DFT calculation with PBE was carried out for an optimized crystal structure of Nd8AlCu2.

The structure in extended XYZ format:
```
11
Lattice="0.099 5.372 0.864 -4.570 -0.112 -6.884 -4.013 -2.331 6.838" Properties=species:S:1:pos:R:3 pbc="T T T"
Cu -4.163 1.040 2.985
Cu -4.372 1.873 -2.167
Nd -4.076 3.564 4.414
Nd -1.711 2.893 -1.157
Nd -6.825 0.021 1.976
Nd -3.332 0.058 0.145
Nd -1.577 2.360 2.139
Nd -4.366 4.720 -2.732
Nd -6.959 0.555 -1.323
Nd -5.203 2.856 0.673
Al -0.026 -0.007 0.000
```

Summary:
Final energy, eV per atom: -4.570
Mass density, g/cm³: 6.7
Crystal system: monoclinic
Energy of formation from the pure elements, eV per atom: -0.02
Space group: C2/m
DOS at the Fermi energy, states/eV/atom: 1.429

=====

No. 2
A plane-wave DFT calculation with PBE was carried out for an optimized crystal structure of Nd5AlCu2.

The structure in extended XYZ format:
```
16
Lattice="0.173 7.529 3.076 -5.726 2.298 -5.302 -1.870 -6.564 5.416" Properties=species:S:1:pos:R:3 pbc="T T T"
Cu -3.432 8.020 -0.629
Cu -0.612 5.000 1.258
Cu -2.121 1.807 -1.597
Cu -4.941 4.826 -3.484
Nd -2.194 2.460 1.468
Nd -2.776 4.913 -1.113
Nd -2.334 1.044 4.941
Nd -6.060 6.407 -1.192
Nd -5.229 0.803 1.722
Nd 0.000 0.000 0.000
Nd -1.363 -3.145 4.382
Nd -3.165 6.649 2.027
Nd -4.258 -3.386 1.163
Nd -5.089 2.218 -1.751
Al -5.100 4.088 1.038
Al -2.323 -0.825 2.151
```

Summary:
Final energy, eV per atom: -4.619
Mass density, g/cm³: 6.7
Crystal system: tetragonal
Energy of formation from the pure elements, eV per atom: -0.15
Space group: I4/mcm
DOS at the Fermi energy, states/eV/atom: 1.208

=====

No. 3
A plane-wave DFT calculation with PBE was carried out for an optimized crystal structure of NdAl3Cu.

The structure in extended XYZ format:
```
5
Lattice="-4.282 0.434 4.321 -2.346 -4.986 2.612 5.450 2.375 -1.359" Properties=species:S:1:pos:R:3 pbc="T T T"
Al -2.702 -1.856 2.826
Al -0.105 -2.444 2.359
Al -1.072 0.266 3.214
Cu -4.194 -2.881 4.387
Nd -0.007 -0.005 0.007
```

Summary:
Relative energy among the computed polymorphs, meV per atom: 0.0
Final energy, eV per atom: -4.490
Mass density, g/cm³: 5.0
Crystal system: tetragonal
Energy of formation from the pure elements, eV per atom: -0.47
Space group: I4mm
DOS at the Fermi energy, states/eV/atom: 0.443

=====

No. 4
A plane-wave DFT calculation with PBE was carried out for an optimized crystal structure of Nd2Al3Cu4.

The structure in extended XYZ format:
```
18
Lattice="5.964 0.000 0.000 0.000 6.998 0.000 -2.982 0.000 7.802" Properties=species:S:1:pos:R:3 pbc="T T T"
Al 4.473 1.750 3.667
Al 2.982 3.499 0.000
Al -1.491 5.249 4.135
Al 1.491 1.750 3.667
Al 1.491 5.249 4.135
Al 0.000 0.000 0.000
Cu 2.982 0.000 5.176
Cu 1.491 5.249 6.757
Cu 0.000 6.998 2.626
Cu 1.491 1.750 1.045
Cu 4.473 1.750 1.045
Cu -1.491 5.249 6.757
Cu 0.000 3.499 5.176
Cu 2.982 3.499 2.626
Nd 0.000 0.615 6.117
Nd 2.982 6.383 1.686
Nd 2.982 2.884 6.117
Nd 0.000 4.114 1.686
```

Summary:
Final energy, eV per atom: -4.424
Mass density, g/cm³: 6.4
Crystal system: orthorhombic
Energy of formation from the pure elements, eV per atom: -0.30
Space group: Cmce
DOS at the Fermi energy, states/eV/atom: 0.532

=====

No. 5
A plane-wave DFT calculation with PBE was carried out for an optimized crystal structure of Nd3Al8Cu3.

The structure in extended XYZ format:
```
14
Lattice="4.374 0.000 0.000 2.187 7.958 -0.188 2.187 1.986 7.709" Properties=species:S:1:pos:R:3 pbc="T T T"
Cu 2.187 0.000 0.000
Cu 2.187 3.262 6.023
Cu 2.187 6.683 1.499
Al 2.187 4.187 1.460
Al 4.374 5.501 0.600
Al 6.561 7.400 3.890
Al 4.374 4.443 6.922
Al 4.374 7.870 2.391
Al 4.374 2.075 5.130
Al 2.187 2.545 3.631
Al 6.561 5.758 6.061
Nd 4.374 1.885 1.426
Nd 4.374 4.972 3.761
Nd 4.374 8.060 6.096
```

Summary:
Final energy, eV per atom: -4.435
Mass density, g/cm³: 5.2
Crystal system: orthorhombic
Energy of formation from the pure elements, eV per atom: -0.40
Space group: Immm
DOS at the Fermi energy, states/eV/atom: 0.442

=====

No. 6
A plane-wave DFT calculation with PBE was carried out for an optimized crystal structure of Nd7Al2Cu2.

The structure in extended XYZ format:
```
11
Lattice="6.878 -0.002 -0.932 0.003 7.133 0.004 -1.359 -0.003 6.806" Properties=species:S:1:pos:R:3 pbc="T T T"
Al 4.628 3.562 4.926
Al 0.893 3.566 0.951
Nd -0.679 1.910 3.404
Nd 2.080 1.907 6.341
Nd 0.000 0.000 0.000
Nd 2.760 1.819 2.938
Nd 3.441 5.221 -0.463
Nd 6.200 5.218 2.473
Nd 2.761 5.309 2.940
Cu 1.040 7.130 4.558
Cu 4.481 -0.002 1.319
```

Summary:
Final energy, eV per atom: -4.460
Mass density, g/cm³: 6.1
Crystal system: orthorhombic
Energy of formation from the pure elements, eV per atom: 0.00
Space group: Cmmm
DOS at the Fermi energy, states/eV/atom: 1.267

=====

No. 7
A plane-wave DFT calculation with PBE was carried out for an optimized crystal structure of NdAl6Cu3.

The structure in extended XYZ format:
```
20
Lattice="4.049 0.000 0.000 0.000 8.861 -1.639 0.000 0.515 9.798" Properties=species:S:1:pos:R:3 pbc="T T T"
Cu 3.036 2.101 0.445
Cu 3.036 3.481 7.548
Cu 1.012 2.869 3.887
Cu 3.036 6.507 4.271
Cu 1.012 7.275 7.714
Cu 1.012 5.895 0.610
Al 3.036 4.515 0.119
Al 1.012 2.180 6.244
Al 3.036 1.146 4.427
Al 3.036 3.972 4.938
Al 1.012 3.357 1.468
Al 3.036 6.019 6.690
Al 1.012 4.861 8.040
Al 1.012 8.230 3.732
Al 3.036 7.069 -0.742
Al 3.036 7.195 1.915
Al 1.012 2.307 8.900
Al 1.012 5.404 3.220
Nd 1.012 0.286 1.935
Nd 3.036 9.090 6.224
```

Summary:
Final energy, eV per atom: -4.122
Mass density, g/cm³: 4.6
Crystal system: monoclinic
Energy of formation from the pure elements, eV per atom: -0.17
Space group: P2_1/m
DOS at the Fermi energy, states/eV/atom: 0.463

=====

No. 8
A plane-wave DFT calculation with PBE was carried out for an optimized crystal structure of Nd4Al3Cu.

The structure in extended XYZ format:
```
8
Lattice="-2.936 1.240 1.968 -1.334 -4.284 0.709 6.650 -0.387 10.168" Properties=species:S:1:pos:R:3 pbc="T T T"
Cu -1.733 -1.545 1.954
Al 2.898 -0.169 4.431
Al 4.791 0.256 10.554
Al 3.071 -2.360 6.071
Nd 0.990 -0.058 1.514
Nd 5.017 -2.473 9.046
Nd 0.131 -1.654 4.804
Nd 2.892 0.366 7.651
```

Summary:
Relative energy among the computed polymorphs, meV per atom: 10.3
Final energy, eV per atom: -4.583
Mass density, g/cm³: 5.8
Crystal system: orthorhombic
Energy of formation from the pure elements, eV per atom: -0.28
Space group: Pmm2
DOS at the Fermi energy, states/eV/atom: 0.946

=====

No. 9
A plane-wave DFT calculation with PBE was carried out for an optimized crystal structure of NdAlCu2.

The structure in extended XYZ format:
```
16
Lattice="5.655 0.000 0.000 0.000 6.534 0.000 0.000 0.000 8.094" Properties=species:S:1:pos:R:3 pbc="T T T"
Cu 2.196 3.649 2.649
Cu 0.631 3.649 6.696
Cu 0.631 6.152 6.696
Cu 3.459 0.382 5.446
Cu 5.024 0.382 1.399
Cu 5.024 2.885 1.399
Cu 3.459 2.885 5.446
Cu 2.196 6.152 2.649
Nd 3.711 4.900 7.640
Nd 0.884 1.633 4.502
Nd 4.771 4.900 3.592
Nd 1.944 1.633 0.455
Al 4.783 1.633 7.177
Al 0.872 4.900 0.917
Al 3.700 1.633 3.130
Al 1.955 4.900 4.964
```

Summary:
Final energy, eV per atom: -4.464
Mass density, g/cm³: 6.6
Crystal system: orthorhombic
Energy of formation from the pure elements, eV per atom: -0.29
Space group: Pnma
DOS at the Fermi energy, states/eV/atom: 0.652

=====

No. 10
A plane-wave DFT calculation with PBE was carried out for an optimized crystal structure of NdAl6Cu2.

The structure in extended XYZ format:
```
18
Lattice="-5.851 1.904 5.448 -1.481 -4.997 6.354 2.066 2.309 7.612" Properties=species:S:1:pos:R:3 pbc="T T T"
Al -4.364 0.843 7.417
Al -0.106 1.060 8.580
Al -3.252 2.084 11.510
Al 0.171 -1.257 6.822
Al 0.856 1.053 3.885
Al -1.849 1.933 6.403
Al -2.014 -2.868 7.904
Al -0.784 -2.325 3.304
Al -2.804 0.865 2.885
Al -5.160 -1.844 10.834
Al -3.489 -1.444 5.822
Al -0.902 -1.627 11.997
Cu -3.584 0.854 5.151
Cu -0.658 -0.098 2.427
Cu -1.399 -2.596 5.604
Cu 0.375 1.056 6.233
Nd -2.633 -0.392 9.707
Nd -3.950 -0.588 14.560
```

Summary:
Final energy, eV per atom: -3.704
Mass density, g/cm³: 3.7
Crystal system: cubic
Energy of formation from the pure elements, eV per atom: 0.23
Space group: Fd-3m
DOS at the Fermi energy, states/eV/atom: 0.925